Compound: TmPa2Se4
Source: the Alexandria database
Functional: PBE
Structure: relaxed

Cell: 3.817 6.833 14.350 Å, 90.00 90.00 106.22°
Each line ends with the local moment (μB).
Fractional coordinates of all 14 atoms:
Tm  0.609  0.217  0.750  0.01
Tm  0.391  0.783  0.250  0.01
Pa  0.147  0.294  0.437  0.88
Pa  0.853  0.706  0.937  0.88
Pa  0.147  0.294  0.063  0.88
Pa  0.853  0.706  0.563  0.88
Se  0.794  0.588  0.132  -0.02
Se  0.794  0.588  0.368  -0.02
Se  0.206  0.412  0.868  -0.02
Se  0.206  0.412  0.632  -0.02
Se  0.947  0.894  0.750  -0.01
Se  0.053  0.106  0.250  -0.01
Se  0.500  0.000  0.000  -0.02
Se  0.500  0.000  0.500  -0.02

Results
SG: Cmcm (63)
Formation energy (no corrections) (eV/atom): -1.36